Record 1
DFT (SCAN) results for a crystal of BaPtAu2 relaxed with PBEsol.

Results
Its crystal system is orthorhombic. The value obtained for the volume is 86.96 Å³/f.u. The space group is Imm2. The energy above the most stable polymorph in this dataset is 0.404 eV/atom. The energy of formation from the pure elements comes out at -0.204 eV/atom.

a = 5.545 Å, b = 5.545 Å, c = 5.545 Å
α = 138.35°, β = 128.67°, γ = 68.16°
Positions (direct):
Ba  0.000  0.000  0.000
Pt  0.731  0.231  0.500
Au  0.274  0.774  0.500
Au  0.512  0.512  0.000

***

Record 2
DFT (SCAN) results for a crystal of Ba2PtAu relaxed with PBEsol.

Results
Its crystal system is tetragonal. The value obtained for the volume is 114.10 Å³/f.u. The space group is P4/mmm. The energy of formation from the pure elements comes out at -0.816 eV/atom.

a = 5.423 Å, b = 5.423 Å, c = 3.880 Å
α = 90.00°, β = 90.00°, γ = 90.00°
Positions (direct):
Ba  0.000  0.500  0.000
Ba  0.500  0.000  0.000
Pt  0.000  0.000  0.500
Au  0.500  0.500  0.500

***

Record 3
DFT (SCAN) results for a crystal of BaPtAu2 relaxed with PBEsol.

Results
Its crystal system is monoclinic. The value obtained for the volume is 105.56 Å³/f.u. The space group is P2/m. The energy above the most stable polymorph in this dataset is 0.051 eV/atom. The energy of formation from the pure elements comes out at -0.557 eV/atom.

a = 4.352 Å, b = 4.615 Å, c = 5.256 Å
α = 90.00°, β = 90.11°, γ = 90.00°
Positions (direct):
Ba  0.000  0.000  0.000
Pt  0.500  0.000  0.500
Au  0.499  0.500  0.752
Au  0.501  0.500  0.248

***

Record 4
DFT (SCAN) results for a crystal of Ba2PtAu relaxed with PBEsol.

Results
Its crystal system is orthorhombic. The value obtained for the volume is 121.64 Å³/f.u. The space group is Amm2. The energy of formation from the pure elements comes out at -0.860 eV/atom.

a = 4.690 Å, b = 6.279 Å, c = 6.279 Å
α = 41.13°, β = 90.00°, γ = 90.00°
Positions (direct):
Ba  0.000  0.000  0.000
Ba  0.500  0.278  0.278
Pt  0.000  0.713  0.713
Au  0.500  0.568  0.568

***

Record 5
DFT (SCAN) results for a crystal of Ba2PtAu relaxed with PBEsol.

Results
Its crystal system is orthorhombic. The value obtained for the volume is 121.67 Å³/f.u. The space group is Pmc2_1. The energy of formation from the pure elements comes out at -0.866 eV/atom.

a = 4.688 Å, b = 13.194 Å, c = 11.803 Å
α = 90.00°, β = 90.00°, γ = 90.00°
Positions (direct):
Ba  0.000  0.079  0.000
Ba  0.000  0.246  0.491
Ba  0.000  0.416  0.992
Ba  0.000  0.584  0.492
Ba  0.000  0.754  0.991
Ba  0.000  0.921  0.500
Ba  0.500  0.087  0.277
Ba  0.500  0.255  0.769
Ba  0.500  0.417  0.270
Ba  0.500  0.583  0.770
Ba  0.500  0.745  0.269
Ba  0.500  0.913  0.777
Pt  0.000  0.248  0.207
Pt  0.000  0.416  0.705
Pt  0.000  0.584  0.205
Pt  0.000  0.752  0.707
Pt  0.500  0.084  0.563
Pt  0.500  0.916  0.063
Au  0.000  0.084  0.710
Au  0.000  0.916  0.210
Au  0.500  0.250  0.061
Au  0.500  0.418  0.558
Au  0.500  0.582  0.058
Au  0.500  0.750  0.561

***

Record 6
DFT (SCAN) results for a crystal of RbBa2YAu relaxed with PBEsol.

Results
Its crystal system is tetragonal. The value obtained for the volume is 196.03 Å³/f.u. The space group is P4/mmm. The energy of formation from the pure elements comes out at 1.076 eV/atom.

a = 6.023 Å, b = 6.023 Å, c = 5.403 Å
α = 90.00°, β = 90.00°, γ = 90.00°
Positions (direct):
Rb  0.000  0.000  0.000
Ba  0.000  0.500  0.000
Ba  0.500  0.000  0.000
Y  0.000  0.000  0.500
Au  0.500  0.500  0.500

***

Copy entry 5 word for word.
DFT (SCAN) results for a crystal of Ba2PtAu relaxed with PBEsol.

Results
Its crystal system is orthorhombic. The value obtained for the volume is 121.67 Å³/f.u. The space group is Pmc2_1. The energy of formation from the pure elements comes out at -0.866 eV/atom.

a = 4.688 Å, b = 13.194 Å, c = 11.803 Å
α = 90.00°, β = 90.00°, γ = 90.00°
Positions (direct):
Ba  0.000  0.079  0.000
Ba  0.000  0.246  0.491
Ba  0.000  0.416  0.992
Ba  0.000  0.584  0.492
Ba  0.000  0.754  0.991
Ba  0.000  0.921  0.500
Ba  0.500  0.087  0.277
Ba  0.500  0.255  0.769
Ba  0.500  0.417  0.270
Ba  0.500  0.583  0.770
Ba  0.500  0.745  0.269
Ba  0.500  0.913  0.777
Pt  0.000  0.248  0.207
Pt  0.000  0.416  0.705
Pt  0.000  0.584  0.205
Pt  0.000  0.752  0.707
Pt  0.500  0.084  0.563
Pt  0.500  0.916  0.063
Au  0.000  0.084  0.710
Au  0.000  0.916  0.210
Au  0.500  0.250  0.061
Au  0.500  0.418  0.558
Au  0.500  0.582  0.058
Au  0.500  0.750  0.561

***

Question: The highest volume belongs to which entry?
Answer: RbBa2YAu